## Tb2CoSi (PBE)

Data for an optimized crystal structure of Tb2CoSi.

```
data_Tb2CoSi
_cell_length_a 3.983
_cell_length_b 4.104
_cell_length_c 10.365
_cell_angle_alpha 90.00
_cell_angle_beta 90.00
_cell_angle_gamma 90.00
_space_group_name_H-M_alt 'A m m 2'
_space_group_IT_number 38
loop_
_space_group_symop_operation_xyz
'x,y,z'
'-x,-y,z'
'-x,y,z'
'x,-y,z'
'x,y+1/2,z+1/2'
'-x,-y+1/2,z+1/2'
'-x,y+1/2,z+1/2'
'x,-y+1/2,z+1/2'
loop_
_atom_site_label
_atom_site_fract_x
_atom_site_fract_y
_atom_site_fract_z
_atom_site_occupancy
Tb1 0.000 0.000 0.000 1
Tb2 0.500 0.000 0.282 1
Co1 0.000 0.000 0.708 1
Si1 0.500 0.000 0.579 1
```

## Properties
The value obtained for the formation energy (no corrections) is -0.52 eV per atom. Its mass density is 7.9 g/cm3. The total magnetic moment comes out at 0.0 μB per formula unit. The energy above the lowest structure with this stoichiometry is 0 meV/atom. The density of states at the Fermi level is 3.741 states/eV/f.u.

## NaAgRh3 (PBE)

Data for an optimized crystal structure of NaAgRh3.

```
data_NaAgRh3
_cell_length_a 4.552
_cell_length_b 4.552
_cell_length_c 4.552
_cell_angle_alpha 90.00
_cell_angle_beta 90.00
_cell_angle_gamma 90.00
_space_group_name_H-M_alt 'P m -3 m'
_space_group_IT_number 221
_space_group_name_Hall '-P 4 2 3'
loop_
_atom_site_label
_atom_site_fract_x
_atom_site_fract_y
_atom_site_fract_z
_atom_site_occupancy
Na1 0.000 0.000 0.000 1
Ag1 0.500 0.500 0.500 1
Rh1 0.000 0.000 0.500 1
```

## Properties
As for the formation energy from the elements: 1667 meV/atom. Its mass density is 7.7 g/cm3. The total magnetic moment comes out at 2.9 μB per formula unit. The energy above the lowest structure with this stoichiometry is 199 meV/atom. The density of states at the Fermi level is 6.993 states/eV/f.u.

## ThInNiPd (PBE)

Data for an optimized crystal structure of ThInNiPd.

```
data_ThInNiPd
_cell_length_a 6.868
_cell_length_b 6.868
_cell_length_c 6.868
_cell_angle_alpha 90.00
_cell_angle_beta 90.00
_cell_angle_gamma 90.00
_space_group_name_H-M_alt 'F -4 3 m'
_space_group_IT_number 216
_space_group_name_Hall 'F -4 2 3'
loop_
_atom_site_label
_atom_site_fract_x
_atom_site_fract_y
_atom_site_fract_z
_atom_site_occupancy
Th1 0.000 0.000 0.000 1
In1 0.000 0.000 0.500 1
Ni1 0.250 0.250 0.250 1
Pd1 0.250 0.250 0.750 1
```

## Properties
As for the formation energy from the elements: -512 meV/atom. Its mass density is 10.5 g/cm3. The total magnetic moment comes out at 0.0 μB per formula unit. The density of states at the Fermi level is 3.792 states/eV/f.u.

## Nd7Y6Ho16 (PBE)

Data for an optimized crystal structure of Nd7Y6Ho16.

```
data_Nd7Y6Ho16
_cell_length_a 15.834
_cell_length_b 15.834
_cell_length_c 15.834
_cell_angle_alpha 90.00
_cell_angle_beta 90.00
_cell_angle_gamma 90.00
_space_group_name_H-M_alt 'F m -3 m'
_space_group_IT_number 225
_space_group_name_Hall '-F 4 2 3'
loop_
_atom_site_label
_atom_site_fract_x
_atom_site_fract_y
_atom_site_fract_z
_atom_site_occupancy
Nd1 0.000 0.000 0.000 1
Nd2 0.000 0.250 0.250 1
Y1 0.000 0.000 0.268 1
Ho1 0.127 0.127 0.127 1
Ho2 0.153 0.153 0.347 1
```

## Properties
As for the formation energy from the elements: 249 meV/atom. Its mass density is 7.0 g/cm3. The total magnetic moment comes out at 0.0 μB per formula unit. The density of states at the Fermi level is 61.306 states/eV/f.u.

## Sc2FeP (PBE)

Data for an optimized crystal structure of Sc2FeP.

```
data_Sc2FeP
_cell_length_a 3.000
_cell_length_b 3.000
_cell_length_c 7.417
_cell_angle_alpha 90.00
_cell_angle_beta 90.00
_cell_angle_gamma 90.00
_space_group_name_H-M_alt 'P 4 m m'
_space_group_IT_number 99
loop_
_space_group_symop_operation_xyz
'x,y,z'
'-y,x,z'
'-x,-y,z'
'y,-x,z'
'-x,y,z'
'y,x,z'
'x,-y,z'
'-y,-x,z'
loop_
_atom_site_label
_atom_site_fract_x
_atom_site_fract_y
_atom_site_fract_z
_atom_site_occupancy
Sc1 0.000 0.000 0.000 1
Sc2 0.500 0.500 0.369 1
Fe1 0.000 0.000 0.620 1
P1 0.500 0.500 0.752 1
```

## Properties
As for the formation energy from the elements: -406 meV/atom. Its mass density is 4.4 g/cm3. The total magnetic moment comes out at 0.7 μB per formula unit. The density of states at the Fermi level is 3.379 states/eV/f.u.

## CePuMgTl (PBE)

Data for an optimized crystal structure of CePuMgTl.

```
data_CePuMgTl
_cell_length_a 7.671
_cell_length_b 7.671
_cell_length_c 7.671
_cell_angle_alpha 90.00
_cell_angle_beta 90.00
_cell_angle_gamma 90.00
_space_group_name_H-M_alt 'F -4 3 m'
_space_group_IT_number 216
_space_group_name_Hall 'F -4 2 3'
loop_
_atom_site_label
_atom_site_fract_x
_atom_site_fract_y
_atom_site_fract_z
_atom_site_occupancy
Ce1 0.000 0.000 0.000 1
Pu1 0.000 0.000 0.500 1
Mg1 0.250 0.250 0.250 1
Tl1 0.250 0.250 0.750 1
```

## Properties
As for the formation energy from the elements: 26 meV/atom. Its mass density is 9.0 g/cm3. The total magnetic moment comes out at 7.3 μB per formula unit. The energy above the lowest structure with this stoichiometry is 42 meV/atom. The density of states at the Fermi level is 12.808 states/eV/f.u.

## TlBiS2N (PBE)

Data for an optimized crystal structure of TlBiS2N.

```
data_TlBiS2N
_cell_length_a 5.193
_cell_length_b 5.193
_cell_length_c 4.161
_cell_angle_alpha 90.00
_cell_angle_beta 90.00
_cell_angle_gamma 90.00
_space_group_name_H-M_alt 'P 4/m m m'
_space_group_IT_number 123
_space_group_name_Hall '-P 4 2'
loop_
_atom_site_label
_atom_site_fract_x
_atom_site_fract_y
_atom_site_fract_z
_atom_site_occupancy
Tl1 0.000 0.000 0.000 1
Bi1 0.500 0.500 0.500 1
S1 0.000 0.500 0.000 1
N1 0.000 0.000 0.500 1
```

## Properties
The value obtained for the formation energy (no corrections) is 1.07 eV per atom. Its mass density is 7.3 g/cm3. The total magnetic moment comes out at 0.0 μB per formula unit. The energy above the lowest structure with this stoichiometry is 362 meV/atom. The density of states at the Fermi level is 5.014 states/eV/f.u.

## Rb2CrCuBr6 (PBE)

Data for an optimized crystal structure of Rb2CrCuBr6.

```
data_Rb2CrCuBr6
_cell_length_a 12.518
_cell_length_b 7.648
_cell_length_c 7.927
_cell_angle_alpha 90.00
_cell_angle_beta 128.20
_cell_angle_gamma 90.00
_space_group_name_H-M_alt 'C 1 2/m 1'
_space_group_IT_number 12
loop_
_space_group_symop_operation_xyz
'x,y,z'
'-x,-y,-z'
'-x,y,-z'
'x,-y,z'
'x+1/2,y+1/2,z'
'-x+1/2,-y+1/2,-z'
'-x+1/2,y+1/2,-z'
'x+1/2,-y+1/2,z'
loop_
_atom_site_label
_atom_site_fract_x
_atom_site_fract_y
_atom_site_fract_z
_atom_site_occupancy
Rb1 0.248 0.000 0.242 1
Cr1 0.000 0.000 0.500 1
Cu1 0.000 0.500 0.000 1
Br1 0.028 0.234 0.301 1
Br2 0.239 0.500 0.181 1
```

## Properties
The value obtained for the formation energy (no corrections) is -1.03 eV per atom. Its mass density is 4.3 g/cm3. The total magnetic moment comes out at 3.0 μB per formula unit. The energy above the lowest structure with this stoichiometry is 0 meV/atom. The density of states at the Fermi level is 0.023 states/eV/f.u.

## LiZnRe3 (PBE)

Data for an optimized crystal structure of LiZnRe3.

```
data_LiZnRe3
_cell_length_a 4.527
_cell_length_b 4.527
_cell_length_c 4.527
_cell_angle_alpha 90.00
_cell_angle_beta 90.00
_cell_angle_gamma 90.00
_space_group_name_H-M_alt 'P m -3 m'
_space_group_IT_number 221
_space_group_name_Hall '-P 4 2 3'
loop_
_atom_site_label
_atom_site_fract_x
_atom_site_fract_y
_atom_site_fract_z
_atom_site_occupancy
Li1 0.000 0.000 0.000 1
Zn1 0.500 0.500 0.500 1
Re1 0.000 0.500 0.500 1
```

## Properties
As for the formation energy from the elements: 2156 meV/atom. Its mass density is 11.3 g/cm3. The total magnetic moment comes out at 0.0 μB per formula unit. The energy above the lowest structure with this stoichiometry is 663 meV/atom. The density of states at the Fermi level is 5.714 states/eV/f.u.

## CsCaP2S (PBE)

Data for an optimized crystal structure of CsCaP2S.

```
data_CsCaP2S
_cell_length_a 5.514
_cell_length_b 5.514
_cell_length_c 5.426
_cell_angle_alpha 90.00
_cell_angle_beta 90.00
_cell_angle_gamma 90.00
_space_group_name_H-M_alt 'P 4/m m m'
_space_group_IT_number 123
_space_group_name_Hall '-P 4 2'
loop_
_atom_site_label
_atom_site_fract_x
_atom_site_fract_y
_atom_site_fract_z
_atom_site_occupancy
Cs1 0.000 0.000 0.000 1
Ca1 0.500 0.500 0.500 1
P1 0.000 0.500 0.500 1
S1 0.500 0.500 0.000 1
```

## Properties
The value obtained for the formation energy (no corrections) is 0.14 eV per atom. Its mass density is 2.7 g/cm3. The total magnetic moment comes out at 1.6 μB per formula unit. The energy above the lowest structure with this stoichiometry is 0 meV/atom. The density of states at the Fermi level is 5.033 states/eV/f.u.